Computed, not measured: crystalline Ca2CuNCl at its relaxed geometry at the GGA-PBEsol level of DFT.

Cell and atoms, written as POSCAR:
```
Ca2CuNCl
1.0
4.1686 0.0000 0.0000
0.0000 5.0716 0.0000
0.0000 0.0000 5.0716
Cl N Cu Ca
1 1 1 2
direct
0.0000 0.0000 0.0000
0.5000 0.5000 0.5000
0.5000 0.0000 0.0000
0.0000 0.5000 0.0000
0.0000 0.0000 0.5000
```

Values from the calculation:
**Total magnetic moment**: 0.00 μB per atom
**Uncorrected energy**: -3.507 eV/atom